CoHBrO: relaxed, PBE with a Hubbard U.

Cell: 3.492 3.492 5.565 Å, 90.00 90.00 120.00°
Element x y z (fractional)
Co1 0.000 0.000 0.000
H1 0.333 0.667 0.317
Br1 0.667 0.333 0.695
O1 0.333 0.667 0.141

DFT total energy, eV per formula unit: -18.3
Total moment, μB/f.u.: 3.00
DOS(E_F), states/eV/f.u.: 0.00

***

CoHBrO: relaxed, PBE with a Hubbard U.

Cell: 4.626 3.468 5.078 Å, 90.00 92.49 90.00°
Element x y z (fractional)
Co1 0.000 0.000 0.000
H1 0.345 0.000 0.792
Br1 0.602 0.000 0.616
O1 0.058 0.500 0.062

DFT total energy, eV per formula unit: -16.1
Total moment, μB/f.u.: 3.03

***

CoH8Br2O4: relaxed, PBE with a Hubbard U.

Cell: 6.114 7.647 8.643 Å, 90.00 110.39 90.00°
Element x y z (fractional)
Co1 0.000 0.000 0.000
Co2 0.000 0.500 0.500
H1 0.096 0.071 0.715
H2 0.096 0.429 0.215
H3 0.105 0.071 0.334
H4 0.105 0.429 0.834
H5 0.366 0.703 0.495
H6 0.366 0.797 0.995
H7 0.385 0.683 0.679
H8 0.385 0.817 0.179
H9 0.615 0.183 0.821
H10 0.615 0.317 0.321
H11 0.634 0.203 0.005
H12 0.634 0.297 0.505
H13 0.895 0.571 0.166
H14 0.895 0.929 0.666
H15 0.904 0.571 0.785
H16 0.904 0.929 0.285
Br1 0.301 0.231 0.576
Br2 0.301 0.269 0.076
Br3 0.699 0.731 0.924
Br4 0.699 0.769 0.424
O1 0.007 0.503 0.742
O2 0.007 0.997 0.242
O3 0.271 0.683 0.565
O4 0.271 0.817 0.065
O5 0.729 0.183 0.935
O6 0.729 0.317 0.435
O7 0.993 0.003 0.758
O8 0.993 0.497 0.258

DFT total energy, eV per formula unit: -69.3
Total moment, μB/f.u.: 3.00
DOS(E_F), states/eV/f.u.: 0.00

***

CoHBrO: relaxed, PBE with a Hubbard U.

Cell: 3.911 3.532 5.173 Å, 90.00 96.66 90.00°
Element x y z (fractional)
Co1 0.000 0.000 0.000
H1 0.172 0.500 0.328
Br1 0.450 0.000 0.703
O1 0.003 0.500 0.172

DFT total energy, eV per formula unit: -18.3
Total moment, μB/f.u.: 3.00
DOS(E_F), states/eV/f.u.: 0.00

***

CoHBrO: relaxed, PBE with a Hubbard U.

Cell: 2.854 2.854 6.930 Å, 88.31 88.03 87.49°
Element x y z (fractional)
Co1 0.000 0.000 0.000
H1 0.041 0.039 0.213
Br1 0.038 0.028 0.525
O1 0.508 0.508 0.983

DFT total energy, eV per formula unit: -15.2
Total moment, μB/f.u.: 1.73
DOS(E_F), states/eV/f.u.: 1.03

***

CoHBrO: relaxed, PBE with a Hubbard U.

Cell: 5.844 5.844 4.192 Å, 100.56 100.56 32.98°
Element x y z (fractional)
Co1 0.000 0.000 0.000
H1 0.328 0.328 0.716
Br1 0.649 0.649 0.295
O1 0.411 0.411 0.843

DFT total energy, eV per formula unit: -17.9
Total moment, μB/f.u.: 3.00

***

CoHBrO: relaxed, PBE with a Hubbard U.

Cell: 3.516 3.880 5.234 Å, 83.39 88.57 84.63°
Element x y z (fractional)
Co1 0.000 0.000 0.000
H1 0.493 0.168 0.672
Br1 0.991 0.450 0.296
O1 0.507 0.001 0.827

DFT total energy, eV per formula unit: -18.3
Total moment, μB/f.u.: 3.00

***

CoH12Br2O14: relaxed, PBE with a Hubbard U.

Cell: 7.789 7.789 6.403 Å, 90.00 90.00 120.00°
Element x y z (fractional)
Co1 0.000 0.000 0.000
H1 0.064 0.334 0.215
H2 0.064 0.730 0.215
H3 0.270 0.334 0.215
H4 0.270 0.936 0.215
H5 0.334 0.064 0.785
H6 0.334 0.270 0.785
H7 0.666 0.730 0.215
H8 0.666 0.936 0.215
H9 0.730 0.064 0.785
H10 0.730 0.666 0.785
H11 0.936 0.270 0.785
H12 0.936 0.666 0.785
Br1 0.333 0.667 0.678
Br2 0.667 0.333 0.322
O1 0.103 0.552 0.769
O2 0.127 0.253 0.189
O3 0.127 0.873 0.189
O4 0.253 0.127 0.811
O5 0.333 0.667 0.422
O6 0.448 0.552 0.769
O7 0.448 0.897 0.769
O8 0.552 0.103 0.231
O9 0.552 0.448 0.231
O10 0.667 0.333 0.578
O11 0.747 0.873 0.189
O12 0.873 0.127 0.811
O13 0.873 0.747 0.811
O14 0.897 0.448 0.231

DFT total energy, eV per formula unit: -135.7
Total moment, μB/f.u.: 3.00
DOS(E_F), states/eV/f.u.: 0.00

***

CoHBrO: relaxed, PBE with a Hubbard U.

Cell: 3.836 3.984 3.984 Å, 87.76 90.00 90.00°
Element x y z (fractional)
Co1 0.000 0.000 0.000
H1 0.500 0.235 0.235
Br1 0.000 0.550 0.550
O1 0.500 0.063 0.063

DFT total energy, eV per formula unit: -18.1
Total moment, μB/f.u.: 3.00

***

> What is the formula in the seventh record?

CoHBrO

***

> Which of these has the lowest DFT total energy?

CoH12Br2O14

***

> Look up the total moment of the first one.

3.00 μB/f.u.

***

Repeat the ninth record exactly.
CoHBrO: relaxed, PBE with a Hubbard U.

Cell: 3.836 3.984 3.984 Å, 87.76 90.00 90.00°
Element x y z (fractional)
Co1 0.000 0.000 0.000
H1 0.500 0.235 0.235
Br1 0.000 0.550 0.550
O1 0.500 0.063 0.063

DFT total energy, eV per formula unit: -18.1
Total moment, μB/f.u.: 3.00